Entry from OQMD: a relaxed Cs2FeHgSb2 crystal (PBE-GGA).

Cell lengths 4.7468, 4.7468, 12.1950 Å; angles 90.00, 90.00, 120.00 degrees
Space group P-6m2 (No. 187)
Unique sites:
Cs1 0.0000 0.0000 0.2448 x2
Fe1 0.3333 0.6667 0.0000 x1
Hg1 0.6667 0.3333 0.5000 x1
Sb1 0.3333 0.6667 0.5000 x1
Sb2 0.6667 0.3333 0.0000 x1

Properties
Density (Mg/m³): 5.344
Total DFT energy (no corrections) (eV/cell): -19.05
Magnetization (μB per formula unit): 3.51



Entry from OQMD: a relaxed CsHfScSe3 crystal (PBE-GGA).

Cell lengths 4.172, 16.290, 10.442 Å; angles 90.00, 90.00, 90.00 degrees
Space group Cmcm (No. 63)
Unique sites:
Cs1 0.000 0.246 0.250 x4
Hf1 0.000 0.028 0.750 x4
Sc1 0.000 0.500 0.000 x4
Se1 0.000 0.113 0.545 x8
Se2 0.000 0.435 0.750 x4

Properties
ΔE to the lowest computed polymorph (meV/atom): 13
Density (Mg/m³): 5.553
Magnetization (μB per formula unit): 0.05



Entry from OQMD: a relaxed LuMgFeAs crystal (PBE-GGA).

Cell lengths 6.557, 6.557, 6.557 Å; angles 90.00, 90.00, 90.00 degrees
Space group F-43m (No. 216)
Unique sites:
Lu1 0.000 0.000 0.000 x4
Mg1 0.000 0.000 0.500 x4
Fe1 0.250 0.250 0.250 x4
As1 0.250 0.250 0.750 x4

Properties
ΔE to the lowest computed polymorph (meV/atom): 0
Density (Mg/m³): 7.774
Magnetization (μB per formula unit): 1.85



Entry from OQMD: a relaxed PmPrNO crystal (PBE-GGA).

Cell lengths 4.367, 4.367, 8.243 Å; angles 90.00, 90.00, 90.00 degrees
Space group P4/nmm (No. 129, origin choice 2)
Unique sites:
Pm1 0.250 0.250 0.108 x2
Pr1 0.250 0.750 0.500 x2
N1 0.250 0.250 0.642 x2
O1 0.250 0.750 0.000 x2

Properties
ΔE to the lowest computed polymorph (meV/atom): 528
Density (Mg/m³): 6.676
Magnetization (μB per formula unit): 0.72



Entry from OQMD: a relaxed GdEr2Al3NiAu2 crystal (PBE-GGA).

Cell lengths 4.079, 12.399, 7.145 Å; angles 90.00, 90.00, 90.00 degrees
Space group Amm2 (No. 38)
Unique sites:
Gd1 0.000 0.000 0.000 x2
Er1 0.000 0.200 0.397 x4
Al1 0.500 0.000 0.371 x2
Al2 0.500 0.113 0.708 x4
Ni1 0.000 0.000 0.593 x2
Au1 0.500 0.170 0.098 x4

Properties
Density (Mg/m³): 9.424
Total DFT energy (no corrections) (eV/cell): -87.87
Magnetization (μB per formula unit): 0.00



Entry from OQMD: a relaxed PrNbGa crystal (PBE-GGA).

Cell lengths 6.988, 6.988, 6.988 Å; angles 90.00, 90.00, 90.00 degrees
Space group F-43m (No. 216)
Unique sites:
Pr1 0.000 0.000 0.000 x4
Nb1 0.250 0.250 0.250 x4
Ga1 0.250 0.250 0.750 x4

Properties
ΔE to the lowest computed polymorph (meV/atom): 712
Density (Mg/m³): 5.908
Magnetization (μB per formula unit): 3.00



Entry from OQMD: a relaxed Dy2Y2Tm2LuNi2Te2 crystal (PBE-GGA).

Cell lengths 3.827, 15.546, 9.582 Å; angles 90.00, 90.00, 90.00 degrees
Space group Imm2 (No. 44)
Unique sites:
Dy1 0.000 0.132 0.000 x4
Y1 0.000 0.316 0.202 x4
Tm1 0.000 0.354 0.853 x4
Lu1 0.000 0.000 0.580 x2
Ni1 0.000 0.237 0.506 x4
Te1 0.000 0.000 0.247 x2
Te2 0.000 0.500 0.344 x2

Properties
ΔE to the lowest computed polymorph (meV/atom): 13
Density (Mg/m³): 8.088
Magnetization (μB per formula unit): 0.00



Entry from OQMD: a relaxed Pr2Nd2CBr5 crystal (PBE-GGA).

Cell lengths 18.424, 3.965, 8.441 Å; angles 90.00, 103.72, 90.00 degrees
Space group C2/m (No. 12)
Unique sites:
Pr1 0.142 0.000 0.077 x4
Nd1 0.001 0.500 0.794 x4
C1 0.000 0.000 0.000 x2
Br1 0.000 0.000 0.500 x2
Br2 0.164 0.500 0.347 x4
Br3 0.170 0.500 0.825 x4

Properties
Density (Mg/m³): 5.444
Total DFT energy (no corrections) (eV/cell): -102.02
Magnetization (μB per formula unit): 0.33



Entry from OQMD: a relaxed NdGdAs crystal (PBE-GGA).

Cell lengths 6.975, 6.975, 6.975 Å; angles 90.00, 90.00, 90.00 degrees
Space group F-43m (No. 216)
Unique sites:
Nd1 0.000 0.000 0.000 x4
Gd1 0.000 0.000 0.500 x4
As1 0.250 0.250 0.750 x4

Properties
ΔE to the lowest computed polymorph (meV/atom): 0
Density (Mg/m³): 7.369
Magnetization (μB per formula unit): 0.00



Entry from OQMD: a relaxed Ho3In3CuNi2 crystal (PBE-GGA).

Cell lengths 7.4343, 7.4343, 3.8297 Å; angles 90.00, 90.00, 120.00 degrees
Space group P-62m (No. 189)
Unique sites:
Ho1 0.0000 0.5881 0.0000 x3
In1 0.0000 0.2590 0.5000 x3
Cu1 0.0000 0.0000 0.0000 x1
Ni1 0.3333 0.6667 0.5000 x2

Properties
Density (Mg/m³): 9.242
Total DFT energy (no corrections) (eV/cell): -41.15
Magnetization (μB per formula unit): 0.00



Entry from OQMD: a relaxed NdAlTl crystal (PBE-GGA).

Cell lengths 6.925, 6.925, 6.925 Å; angles 90.00, 90.00, 90.00 degrees
Space group F-43m (No. 216)
Unique sites:
Nd1 0.000 0.000 0.000 x4
Al1 0.250 0.250 0.250 x4
Tl1 0.000 0.000 0.500 x4

Properties
Density (Mg/m³): 7.513
Total DFT energy (no corrections) (eV/cell): -44.84
Magnetization (μB per formula unit): 0.00



Entry from OQMD: a relaxed MgCoIrPb crystal (PBE-GGA).

Cell lengths 6.377, 6.377, 6.377 Å; angles 90.00, 90.00, 90.00 degrees
Space group F-43m (No. 216)
Unique sites:
Mg1 0.000 0.000 0.000 x4
Co1 0.250 0.250 0.750 x4
Ir1 0.250 0.250 0.250 x4
Pb1 0.000 0.000 0.500 x4

Properties
ΔE to the lowest computed polymorph (meV/atom): 0
Density (Mg/m³): 12.363
Magnetization (μB per formula unit): 0.49



Entry from OQMD: a relaxed Y2CuAg3 crystal (PBE-GGA).

Cell lengths 3.706, 3.706, 9.174 Å; angles 90.00, 90.00, 90.00 degrees
Space group P4mm (No. 99)
Unique sites:
Y1 0.000 0.000 0.000 x1
Y2 0.500 0.500 0.485 x1
Cu1 0.000 0.000 0.327 x1
Ag1 0.000 0.000 0.661 x1
Ag2 0.500 0.500 0.169 x1
Ag3 0.500 0.500 0.822 x1

Properties
Formation energy from the elements (meV/atom): -281
Density (Mg/m³): 7.447
Magnetization (μB per formula unit): 0.00



Entry from OQMD: a relaxed Ho4InSN2 crystal (PBE-GGA).

Cell lengths 3.5458, 3.5458, 14.1037 Å; angles 90.00, 90.00, 120.00 degrees
Space group P-6m2 (No. 187)
Unique sites:
Ho1 0.0000 0.0000 0.1322 x2
Ho2 0.6667 0.3333 0.3179 x2
In1 0.0000 0.0000 0.5000 x1
S1 0.6667 0.3333 0.0000 x1
N1 0.3333 0.6667 0.2236 x2

Properties
Density (Mg/m³): 9.025
Total DFT energy (no corrections) (eV/cell): -53.43
Magnetization (μB per formula unit): 0.00



Entry from OQMD: a relaxed RbGdPO crystal (PBE-GGA).

Cell lengths 4.804, 8.061, 6.709 Å; angles 90.00, 90.00, 90.00 degrees
Space group Pmc2_1 (No. 26)
Unique sites:
Rb1 0.000 0.212 0.000 x2
Gd1 0.500 0.370 0.571 x2
P1 0.000 0.206 0.491 x2
O1 0.500 0.417 0.885 x2

Properties
ΔE to the lowest computed polymorph (meV/atom): 57
Density (Mg/m³): 3.703
Magnetization (μB per formula unit): 1.00